This record from the Alexandria database describes an optimized crystal structure of MgScBe4. The functional is GGA-PBE.

Lattice parameters (Å, degrees): 4.722 4.722 4.722 60.00 60.00 60.00
Element x y z (fractional)
Mg1 0.000 0.000 0.000
Sc1 0.750 0.750 0.750
Be1 0.378 0.378 0.378
Be2 0.378 0.378 0.866
Be3 0.378 0.866 0.378
Be4 0.866 0.378 0.378

- crystal system = cubic
- E_form (eV/atom) = 0.010
- E_tot (eV for the cell shown) = -22.77
- M_tot (μB per formula unit) = 0.0